(1)
Entry from Alexandria via LeMat-Bulk: an optimized crystal structure of GdLuCuSn (PBE).

Cell and atoms, written as CIF:
```
data_GdLuCuSn
_chemical_formula_sum 'Gd4 Lu4 Cu4 Sn4'
_cell_length_a 7.231
_cell_length_b 7.231
_cell_length_c 7.231
_cell_angle_alpha 90.00
_cell_angle_beta 90.00
_cell_angle_gamma 90.00
_symmetry_space_group_name_H-M 'F -4 3 m'
_symmetry_Int_Tables_number 216
_symmetry_space_group_name_Hall 'F -4 2 3'
loop_
_atom_site_label
_atom_site_type_symbol
_atom_site_fract_x
_atom_site_fract_y
_atom_site_fract_z
Gd1 Gd 0.000 0.000 0.000
Lu1 Lu 0.000 0.000 0.500
Cu1 Cu 0.250 0.250 0.250
Sn1 Sn 0.250 0.250 0.750
```

Output
ρ in kg/m3: 9038
E_form in kcal/mol of atoms: -9.7
DOS(E_F) in states/eV/cell: 13.424
VASP energy in eV/atom: -7.10



(2)
Entry from Alexandria via LeMat-Bulk: an optimized crystal structure of GdLuZnCu (PBE).

Cell and atoms, written as CIF:
```
data_GdLuZnCu
_chemical_formula_sum 'Gd4 Lu4 Zn4 Cu4'
_cell_length_a 7.003
_cell_length_b 7.003
_cell_length_c 7.003
_cell_angle_alpha 90.00
_cell_angle_beta 90.00
_cell_angle_gamma 90.00
_symmetry_space_group_name_H-M 'F -4 3 m'
_symmetry_Int_Tables_number 216
_symmetry_space_group_name_Hall 'F -4 2 3'
loop_
_atom_site_label
_atom_site_type_symbol
_atom_site_fract_x
_atom_site_fract_y
_atom_site_fract_z
Gd1 Gd 0.000 0.000 0.000
Lu1 Lu 0.000 0.000 0.500
Zn1 Zn 0.250 0.250 0.250
Cu1 Cu 0.250 0.250 0.750
```

Output
ρ in kg/m3: 8918
E_form in kcal/mol of atoms: -6.6
DOS(E_F) in states/eV/cell: 11.392
VASP energy in eV/atom: -6.28



(3)
Entry from Alexandria via LeMat-Bulk: an optimized crystal structure of Gd2MgCu (PBE).

Cell and atoms, written as CIF:
```
data_Gd2MgCu
_chemical_formula_sum 'Gd6 Mg3 Cu3'
_cell_length_a 3.4318
_cell_length_b 3.4318
_cell_length_c 32.5235
_cell_angle_alpha 90.00
_cell_angle_beta 90.00
_cell_angle_gamma 120.00
_symmetry_space_group_name_H-M 'R -3 m'
_symmetry_Int_Tables_number 166
_symmetry_space_group_name_Hall '-R 3 2"'
loop_
_atom_site_label
_atom_site_type_symbol
_atom_site_fract_x
_atom_site_fract_y
_atom_site_fract_z
Gd1 Gd 0.0000 0.0000 0.1020
Mg1 Mg 0.0000 0.0000 0.0000
Cu1 Cu 0.0000 0.0000 0.5000
```

Output
ρ in kg/m3: 6042
E_form in kcal/mol of atoms: 5.5
DOS(E_F) in states/eV/cell: 12.217
VASP energy in eV/atom: -8.22
Energy above the most stable polymorph in this dataset in meV/atom: 383



(4)
Entry from Alexandria via LeMat-Bulk: an optimized crystal structure of Gd2MgCu (PBE).

Cell and atoms, written as CIF:
```
data_Gd2MgCu
_chemical_formula_sum 'Gd8 Mg4 Cu4'
_cell_length_a 7.319
_cell_length_b 7.319
_cell_length_c 7.319
_cell_angle_alpha 90.00
_cell_angle_beta 90.00
_cell_angle_gamma 90.00
_symmetry_space_group_name_H-M 'F m -3 m'
_symmetry_Int_Tables_number 225
_symmetry_space_group_name_Hall '-F 4 2 3'
loop_
_atom_site_label
_atom_site_type_symbol
_atom_site_fract_x
_atom_site_fract_y
_atom_site_fract_z
Gd1 Gd 0.250 0.250 0.250
Mg1 Mg 0.000 0.000 0.000
Cu1 Cu 0.000 0.000 0.500
```

Output
ρ in kg/m3: 6815
E_form in kcal/mol of atoms: -1.6
DOS(E_F) in states/eV/cell: 16.427
VASP energy in eV/atom: -8.53
Energy above the most stable polymorph in this dataset in meV/atom: 77



(5)
Entry from Alexandria via LeMat-Bulk: an optimized crystal structure of Gd2MgCu (PBE).

Cell and atoms, written as CIF:
```
data_Gd2MgCu
_chemical_formula_sum 'Gd2 Mg1 Cu1'
_cell_length_a 3.546
_cell_length_b 3.546
_cell_length_c 7.878
_cell_angle_alpha 90.00
_cell_angle_beta 90.00
_cell_angle_gamma 90.00
_symmetry_space_group_name_H-M 'P 4/m m m'
_symmetry_Int_Tables_number 123
_symmetry_space_group_name_Hall '-P 4 2'
loop_
_atom_site_label
_atom_site_type_symbol
_atom_site_fract_x
_atom_site_fract_y
_atom_site_fract_z
Gd1 Gd 0.000 0.000 0.217
Mg1 Mg 0.500 0.500 0.500
Cu1 Cu 0.500 0.500 0.000
```

Output
ρ in kg/m3: 6745
E_form in kcal/mol of atoms: -3.3
DOS(E_F) in states/eV/cell: 4.342
VASP energy in eV/atom: -8.61
Energy above the most stable polymorph in this dataset in meV/atom: 0



(6)
Entry from Alexandria via LeMat-Bulk: an optimized crystal structure of GdMgCu2 (PBE).

Cell and atoms, written as CIF:
```
data_GdMgCu2
_chemical_formula_sum 'Gd1 Mg1 Cu2'
_cell_length_a 3.333
_cell_length_b 3.333
_cell_length_c 6.731
_cell_angle_alpha 90.00
_cell_angle_beta 90.00
_cell_angle_gamma 90.00
_symmetry_space_group_name_H-M 'P 4/m m m'
_symmetry_Int_Tables_number 123
_symmetry_space_group_name_Hall '-P 4 2'
loop_
_atom_site_label
_atom_site_type_symbol
_atom_site_fract_x
_atom_site_fract_y
_atom_site_fract_z
Gd1 Gd 0.000 0.000 0.000
Mg1 Mg 0.000 0.000 0.500
Cu1 Cu 0.500 0.500 0.283
```

Output
ρ in kg/m3: 6854
E_form in kcal/mol of atoms: -2.8
DOS(E_F) in states/eV/cell: 2.549
VASP energy in eV/atom: -6.09



(7)
Entry from Alexandria via LeMat-Bulk: an optimized crystal structure of GdMg2Cu (PBE).

Cell and atoms, written as CIF:
```
data_GdMg2Cu
_chemical_formula_sum 'Gd3 Mg6 Cu3'
_cell_length_a 3.1806
_cell_length_b 3.1806
_cell_length_c 31.5268
_cell_angle_alpha 90.00
_cell_angle_beta 90.00
_cell_angle_gamma 120.00
_symmetry_space_group_name_H-M 'R -3 m'
_symmetry_Int_Tables_number 166
_symmetry_space_group_name_Hall '-R 3 2"'
loop_
_atom_site_label
_atom_site_type_symbol
_atom_site_fract_x
_atom_site_fract_y
_atom_site_fract_z
Gd1 Gd 0.0000 0.0000 0.0000
Mg1 Mg 0.0000 0.0000 0.1030
Cu1 Cu 0.0000 0.0000 0.5000
```

Output
ρ in kg/m3: 4859
E_form in kcal/mol of atoms: 5.8
DOS(E_F) in states/eV/cell: 9.611
VASP energy in eV/atom: -5.09



(8)
Entry from Alexandria via LeMat-Bulk: an optimized crystal structure of GdMg2Cu (PBE).

Cell and atoms, written as CIF:
```
data_GdMg2Cu
_chemical_formula_sum 'Gd1 Mg2 Cu1'
_cell_length_a 3.278
_cell_length_b 3.278
_cell_length_c 8.065
_cell_angle_alpha 90.00
_cell_angle_beta 90.00
_cell_angle_gamma 90.00
_symmetry_space_group_name_H-M 'P 4/m m m'
_symmetry_Int_Tables_number 123
_symmetry_space_group_name_Hall '-P 4 2'
loop_
_atom_site_label
_atom_site_type_symbol
_atom_site_fract_x
_atom_site_fract_y
_atom_site_fract_z
Gd1 Gd 0.000 0.000 0.000
Mg1 Mg 0.500 0.500 0.311
Cu1 Cu 0.000 0.000 0.500
```

Output
ρ in kg/m3: 5161
E_form in kcal/mol of atoms: -1.0
DOS(E_F) in states/eV/cell: 3.671
VASP energy in eV/atom: -5.39



(9)
Entry from Alexandria via LeMat-Bulk: an optimized crystal structure of GdMg2Cu (PBE).

Cell and atoms, written as CIF:
```
data_GdMg2Cu
_chemical_formula_sum 'Gd1 Mg2 Cu1'
_cell_length_a 4.239
_cell_length_b 4.239
_cell_length_c 4.976
_cell_angle_alpha 90.00
_cell_angle_beta 90.00
_cell_angle_gamma 90.00
_symmetry_space_group_name_H-M 'P 4/m m m'
_symmetry_Int_Tables_number 123
_symmetry_space_group_name_Hall '-P 4 2'
loop_
_atom_site_label
_atom_site_type_symbol
_atom_site_fract_x
_atom_site_fract_y
_atom_site_fract_z
Gd1 Gd 0.000 0.000 0.000
Mg1 Mg 0.000 0.500 0.500
Cu1 Cu 0.500 0.500 0.000
```

Output
ρ in kg/m3: 5004
E_form in kcal/mol of atoms: -0.2
DOS(E_F) in states/eV/cell: 3.180
VASP energy in eV/atom: -5.35



(10)
Entry from Alexandria via LeMat-Bulk: an optimized crystal structure of GdMgCu2 (PBE).

Cell and atoms, written as CIF:
```
data_GdMgCu2
_chemical_formula_sum 'Gd1 Mg1 Cu2'
_cell_length_a 4.808
_cell_length_b 4.808
_cell_length_c 3.288
_cell_angle_alpha 90.00
_cell_angle_beta 90.00
_cell_angle_gamma 90.00
_symmetry_space_group_name_H-M 'P 4/m m m'
_symmetry_Int_Tables_number 123
_symmetry_space_group_name_Hall '-P 4 2'
loop_
_atom_site_label
_atom_site_type_symbol
_atom_site_fract_x
_atom_site_fract_y
_atom_site_fract_z
Gd1 Gd 0.000 0.000 0.000
Mg1 Mg 0.500 0.500 0.000
Cu1 Cu 0.000 0.500 0.500
```

Output
ρ in kg/m3: 6743
E_form in kcal/mol of atoms: -1.7
DOS(E_F) in states/eV/cell: 3.098
VASP energy in eV/atom: -6.04



(11)
Entry from Alexandria via LeMat-Bulk: an optimized crystal structure of NdGdMgCu (PBE).

Cell and atoms, written as CIF:
```
data_NdGdMgCu
_chemical_formula_sum 'Nd4 Gd4 Mg4 Cu4'
_cell_length_a 7.408
_cell_length_b 7.408
_cell_length_c 7.408
_cell_angle_alpha 90.00
_cell_angle_beta 90.00
_cell_angle_gamma 90.00
_symmetry_space_group_name_H-M 'F -4 3 m'
_symmetry_Int_Tables_number 216
_symmetry_space_group_name_Hall 'F -4 2 3'
loop_
_atom_site_label
_atom_site_type_symbol
_atom_site_fract_x
_atom_site_fract_y
_atom_site_fract_z
Nd1 Nd 0.000 0.000 0.000
Gd1 Gd 0.000 0.000 0.500
Mg1 Mg 0.250 0.250 0.250
Cu1 Cu 0.250 0.250 0.750
```

Output
ρ in kg/m3: 6362
E_form in kcal/mol of atoms: -1.2
DOS(E_F) in states/eV/cell: 17.530
VASP energy in eV/atom: -6.19



(12)
Entry from Alexandria via LeMat-Bulk: an optimized crystal structure of GdMgCuPb (PBE).

Cell and atoms, written as CIF:
```
data_GdMgCuPb
_chemical_formula_sum 'Gd4 Mg4 Cu4 Pb4'
_cell_length_a 7.174
_cell_length_b 7.174
_cell_length_c 7.174
_cell_angle_alpha 90.00
_cell_angle_beta 90.00
_cell_angle_gamma 90.00
_symmetry_space_group_name_H-M 'F -4 3 m'
_symmetry_Int_Tables_number 216
_symmetry_space_group_name_Hall 'F -4 2 3'
loop_
_atom_site_label
_atom_site_type_symbol
_atom_site_fract_x
_atom_site_fract_y
_atom_site_fract_z
Gd1 Gd 0.000 0.000 0.000
Mg1 Mg 0.000 0.000 0.500
Cu1 Cu 0.250 0.250 0.250
Pb1 Pb 0.250 0.250 0.750
```

Output
ρ in kg/m3: 8138
E_form in kcal/mol of atoms: -4.9
DOS(E_F) in states/eV/cell: 5.322
VASP energy in eV/atom: -6.08



(13)
Entry from Alexandria via LeMat-Bulk: an optimized crystal structure of PrGdMgCu (PBE).

Cell and atoms, written as CIF:
```
data_PrGdMgCu
_chemical_formula_sum 'Pr4 Gd4 Mg4 Cu4'
_cell_length_a 7.436
_cell_length_b 7.436
_cell_length_c 7.436
_cell_angle_alpha 90.00
_cell_angle_beta 90.00
_cell_angle_gamma 90.00
_symmetry_space_group_name_H-M 'F -4 3 m'
_symmetry_Int_Tables_number 216
_symmetry_space_group_name_Hall 'F -4 2 3'
loop_
_atom_site_label
_atom_site_type_symbol
_atom_site_fract_x
_atom_site_fract_y
_atom_site_fract_z
Pr1 Pr 0.000 0.000 0.000
Gd1 Gd 0.000 0.000 0.500
Mg1 Mg 0.250 0.250 0.250
Cu1 Cu 0.250 0.250 0.750
```

Output
ρ in kg/m3: 6236
E_form in kcal/mol of atoms: -1.1
DOS(E_F) in states/eV/cell: 17.887
VASP energy in eV/atom: -6.19



(14)
Entry from Alexandria via LeMat-Bulk: an optimized crystal structure of GdMgCuRu (PBE).

Cell and atoms, written as CIF:
```
data_GdMgCuRu
_chemical_formula_sum 'Gd4 Mg4 Cu4 Ru4'
_cell_length_a 6.643
_cell_length_b 6.643
_cell_length_c 6.643
_cell_angle_alpha 90.00
_cell_angle_beta 90.00
_cell_angle_gamma 90.00
_symmetry_space_group_name_H-M 'F -4 3 m'
_symmetry_Int_Tables_number 216
_symmetry_space_group_name_Hall 'F -4 2 3'
loop_
_atom_site_label
_atom_site_type_symbol
_atom_site_fract_x
_atom_site_fract_y
_atom_site_fract_z
Gd1 Gd 0.000 0.000 0.000
Mg1 Mg 0.000 0.000 0.500
Cu1 Cu 0.250 0.250 0.750
Ru1 Ru 0.250 0.250 0.250
```

Output
ρ in kg/m3: 7843
E_form in kcal/mol of atoms: -2.6
DOS(E_F) in states/eV/cell: 5.606
VASP energy in eV/atom: -7.37



(15)
Entry from Alexandria via LeMat-Bulk: an optimized crystal structure of SmGdMgCu (PBE).

Cell and atoms, written as CIF:
```
data_SmGdMgCu
_chemical_formula_sum 'Sm4 Gd4 Mg4 Cu4'
_cell_length_a 7.362
_cell_length_b 7.362
_cell_length_c 7.362
_cell_angle_alpha 90.00
_cell_angle_beta 90.00
_cell_angle_gamma 90.00
_symmetry_space_group_name_H-M 'F -4 3 m'
_symmetry_Int_Tables_number 216
_symmetry_space_group_name_Hall 'F -4 2 3'
loop_
_atom_site_label
_atom_site_type_symbol
_atom_site_fract_x
_atom_site_fract_y
_atom_site_fract_z
Sm1 Sm 0.000 0.000 0.000
Gd1 Gd 0.000 0.000 0.500
Mg1 Mg 0.250 0.250 0.250
Cu1 Cu 0.250 0.250 0.750
```

Output
ρ in kg/m3: 6582
E_form in kcal/mol of atoms: -1.3
DOS(E_F) in states/eV/cell: 17.239
VASP energy in eV/atom: -6.18



(16)
Entry from Alexandria via LeMat-Bulk: an optimized crystal structure of GdTmMgCu (PBE).

Cell and atoms, written as CIF:
```
data_GdTmMgCu
_chemical_formula_sum 'Gd4 Tm4 Mg4 Cu4'
_cell_length_a 7.240
_cell_length_b 7.240
_cell_length_c 7.240
_cell_angle_alpha 90.00
_cell_angle_beta 90.00
_cell_angle_gamma 90.00
_symmetry_space_group_name_H-M 'F -4 3 m'
_symmetry_Int_Tables_number 216
_symmetry_space_group_name_Hall 'F -4 2 3'
loop_
_atom_site_label
_atom_site_type_symbol
_atom_site_fract_x
_atom_site_fract_y
_atom_site_fract_z
Gd1 Gd 0.000 0.000 0.000
Tm1 Tm 0.000 0.000 0.500
Mg1 Mg 0.250 0.250 0.750
Cu1 Cu 0.250 0.250 0.250
```

Output
ρ in kg/m3: 7247
E_form in kcal/mol of atoms: -1.5
DOS(E_F) in states/eV/cell: 16.843
VASP energy in eV/atom: -6.13